1.
TlTc2Mo | PBE | relaxed

Properties
The calculation puts the energy above the lowest structure with this stoichiometry at 157 meV/atom. Its space-group type is Immm (71).

Cell lengths 5.3361, 5.3361, 5.3361 Å; angles 145.63, 127.34, 64.40 degrees
Last column: nearest neighbours and their distance in Å.
Sites, in units of the cell vectors:
Tl 0.7500 0.2500 0.5000  4 Mo 2.84, 8 Tc 2.91-3.14, 2 Tl 3.15
Tc 0.4792 0.4792 0.0000  2 Mo 2.60, 4 Tc 2.87, 2 Tl 2.91
Tc 0.0208 0.0208 0.0000  2 Mo 2.60, 4 Tc 2.87, 2 Tl 2.91
Mo 0.2500 0.7500 0.5000  4 Tc 2.60, 4 Tl 2.84

2.
PmNd5Dy2Th | PBE | relaxed

Properties
The raw total energy is -4.87 eV/atom. Its space-group type is Cmc2_1 (36).

Cell lengths 5.7241, 10.6651, 10.6084 Å; angles 90.00, 90.00, 105.57 degrees
Last column: nearest neighbours and their distance in Å.
Sites, in units of the cell vectors:
Dy 0.8866 0.7732 0.2350  1 Th 3.43, 7 Nd 3.49-3.74, 2 Pm 3.69
Dy 0.8837 0.7674 0.8177  8 Nd 3.30-3.62, 1 Th 3.66
Dy 0.1163 0.2326 0.3177  8 Nd 3.30-3.62, 1 Th 3.66
Dy 0.1134 0.2268 0.7350  1 Th 3.43, 7 Nd 3.49-3.74, 2 Pm 3.69
Th 0.8009 0.6018 0.5123  2 Dy 3.43-3.66, 7 Nd 3.51-3.80, 2 Pm 3.68
Th 0.1991 0.3982 0.0123  2 Dy 3.43-3.66, 7 Nd 3.51-3.80, 2 Pm 3.68
Nd 0.2934 0.5867 0.7040  2 Nd 3.41, 3 Th 3.51-3.80, 1 Pm 3.59, 3 Dy 3.62-3.71
Nd 0.7066 0.4133 0.2040  2 Nd 3.41, 3 Th 3.51-3.80, 1 Pm 3.59, 3 Dy 3.62-3.71
Nd 0.7232 0.4464 0.8139  1 Pm 3.08, 1 Dy 3.30, 2 Nd 3.41
Nd 0.6122 0.2244 0.5268  6 Nd 3.55-3.94, 4 Dy 3.62, 1 Th 3.88
Nd 0.0155 0.0311 0.0214  2 Pm 3.34, 3 Dy 3.46-3.64, 2 Nd 3.70
Nd 0.2768 0.5536 0.3139  1 Pm 3.08, 1 Dy 3.30, 2 Nd 3.41
Nd 0.4785 0.9570 0.7424  2 Pm 3.20-3.41, 2 Nd 3.55-3.57, 2 Dy 3.55
Nd 0.5215 0.0430 0.2424  2 Pm 3.20-3.41, 2 Nd 3.55-3.57, 2 Dy 3.55
Nd 0.3878 0.7756 0.0268  6 Nd 3.55-3.94, 4 Dy 3.62, 1 Th 3.88
Nd 0.9845 0.9689 0.5214  2 Pm 3.34, 3 Dy 3.46-3.64, 2 Nd 3.70
Pm 0.4090 0.8180 0.4504  5 Nd 3.08-3.41
Pm 0.5910 0.1820 0.9504  5 Nd 3.08-3.41

3.
KSi2IrS8 | PBE | relaxed

Properties
The energy relative to the elements, uncorrected is -340 meV/atom. Its space-group type is P-3 (147).

Cell lengths 5.9100, 5.9100, 9.7598 Å; angles 90.00, 90.00, 120.00 degrees
Last column: nearest neighbours and their distance in Å.
Sites, in units of the cell vectors:
S 0.3506 0.0209 0.6266  1 Si 2.17, 1 Ir 2.36
S 0.3333 0.6667 0.9105  1 Si 2.06
S 0.6667 0.3333 0.0895  1 Si 2.06
S 0.9791 0.3297 0.6266  1 Si 2.17, 1 Ir 2.36
S 0.0209 0.6703 0.3734  1 Si 2.17, 1 Ir 2.36
S 0.6494 0.9791 0.3734  1 Si 2.17, 1 Ir 2.36
S 0.3297 0.3506 0.3734  1 Si 2.17, 1 Ir 2.36
S 0.6703 0.6494 0.6266  1 Si 2.17, 1 Ir 2.36
Si 0.3333 0.6667 0.6997  4 S 2.06-2.17
Si 0.6667 0.3333 0.3003  4 S 2.06-2.17
Ir 0.0000 0.0000 0.5000  6 S 2.36
K 0.0000 0.0000 0.0000  6 S 3.52

4.
NpNb2Re | PBE | relaxed

Properties
The calculation puts the energy above the lowest structure with this stoichiometry at 70 meV/atom. Its space-group type is Fm-3m (225).

Cell lengths 4.6730, 4.6730, 4.6730 Å; angles 60.00, 60.00, 60.00 degrees
Last column: nearest neighbours and their distance in Å.
Sites, in units of the cell vectors:
Nb 0.2500 0.2500 0.2500  4 Np 2.86, 4 Re 2.86
Nb 0.7500 0.7500 0.7500  4 Re 2.86, 4 Np 2.86
Re 0.5000 0.5000 0.5000  8 Nb 2.86
Np 0.0000 0.0000 0.0000  8 Nb 2.86

5.
TeAsIr2 | PBE | relaxed

Properties
The calculation puts the energy above the lowest structure with this stoichiometry at 527 meV/atom. The energy relative to the elements, uncorrected is 395 meV/atom. Its space-group type is Imm2 (44).

Cell lengths 5.7288, 5.7288, 5.7288 Å; angles 150.04, 129.78, 59.59 degrees
Last column: nearest neighbours and their distance in Å.
Sites, in units of the cell vectors:
Ir 0.7568 0.2568 0.5000  2 Te 2.77, 4 Ir 2.84-2.96, 4 As 2.87
Ir 0.0010 0.0010 0.0000  2 As 2.64, 2 Ir 2.84, 4 Te 2.85
As 0.2207 0.7207 0.5000  6 Ir 2.64-2.87
Te 0.5215 0.5215 0.0000  6 Ir 2.77-2.85, 2 Te 2.96

6.
Cs2BiBH | PBE | relaxed

Properties
The raw total energy is -2.30 eV/atom. Its space-group type is P4/mmm (123).

Cell lengths 6.2953, 6.2953, 4.5347 Å; angles 90.00, 90.00, 90.00 degrees
Last column: nearest neighbours and their distance in Å.
Sites, in units of the cell vectors:
Bi 0.0000 0.0000 0.5000  2 H 2.27
Cs 0.5000 0.0000 0.0000  2 H 3.15
Cs 0.0000 0.5000 0.0000  2 H 3.15
H 0.0000 0.0000 0.0000  2 Bi 2.27
B 0.5000 0.5000 0.5000  8 Cs 3.88

7.
AcTlIO | PBE | relaxed

Properties
The energy relative to the elements, uncorrected is -1970 meV/atom. Its space-group type is P4/nmm (129).

Cell lengths 4.3542, 4.3542, 15.4857 Å; angles 90.00, 90.00, 90.00 degrees
Last column: nearest neighbours and their distance in Å.
Sites, in units of the cell vectors:
Ac 0.2500 0.2500 0.0793  4 O 2.50
Ac 0.7500 0.7500 0.9207  4 O 2.50
O 0.2500 0.7500 0.0000  4 Ac 2.50
O 0.7500 0.2500 0.0000  4 Ac 2.50
Tl 0.7500 0.2500 0.5000  4 Tl 3.08
Tl 0.2500 0.7500 0.5000  4 Tl 3.08
I 0.7500 0.7500 0.2028  4 Ac 3.62, 4 O 3.82
I 0.2500 0.2500 0.7972  4 Ac 3.62, 4 O 3.82

8.
Pm12CuHg6 | PBE | relaxed

Properties
The raw total energy is -3.50 eV/atom. Its space-group type is R-3 (148).

Cell lengths 8.2179, 8.2179, 8.2179 Å; angles 90.53, 90.53, 90.53 degrees
Last column: nearest neighbours and their distance in Å.
Sites, in units of the cell vectors:
Pm 0.4451 0.8059 0.5392  4 Hg 3.22-3.42, 4 Pm 3.38-3.55
Pm 0.6515 0.9873 0.8765  1 Cu 3.03, 3 Hg 3.20-3.39, 1 Pm 3.23
Pm 0.8059 0.5392 0.4451  4 Hg 3.22-3.42, 4 Pm 3.38-3.55
Pm 0.3485 0.0127 0.1235  1 Cu 3.03, 3 Hg 3.20-3.39, 1 Pm 3.23
Pm 0.8765 0.6515 0.9873  1 Cu 3.03, 3 Hg 3.20-3.39, 1 Pm 3.23
Pm 0.4608 0.5549 0.1941  4 Hg 3.22-3.42, 4 Pm 3.38-3.55
Pm 0.1235 0.3485 0.0127  1 Cu 3.03, 3 Hg 3.20-3.39, 1 Pm 3.23
Pm 0.0127 0.1235 0.3485  1 Cu 3.03, 3 Hg 3.20-3.39, 1 Pm 3.23
Pm 0.5549 0.1941 0.4608  4 Hg 3.22-3.42, 4 Pm 3.38-3.55
Pm 0.5392 0.4451 0.8059  4 Hg 3.22-3.42, 4 Pm 3.38-3.55
Pm 0.9873 0.8765 0.6515  1 Cu 3.03, 3 Hg 3.20-3.39, 1 Pm 3.23
Pm 0.1941 0.4608 0.5549  4 Hg 3.22-3.42, 4 Pm 3.38-3.55
Hg 0.7313 0.2841 0.1206  8 Pm 3.20-3.43, 1 Cu 3.38, 2 Hg 3.55
Hg 0.2687 0.7159 0.8794  8 Pm 3.20-3.43, 1 Cu 3.38, 2 Hg 3.55
Hg 0.8794 0.2687 0.7159  8 Pm 3.20-3.43, 1 Cu 3.38, 2 Hg 3.55
Hg 0.2841 0.1206 0.7313  8 Pm 3.20-3.43, 1 Cu 3.38, 2 Hg 3.55
Hg 0.7159 0.8794 0.2687  8 Pm 3.20-3.43, 1 Cu 3.38, 2 Hg 3.55
Hg 0.1206 0.7313 0.2841  8 Pm 3.20-3.43, 1 Cu 3.38, 2 Hg 3.55
Cu 0.0000 0.0000 0.0000  6 Pm 3.03, 6 Hg 3.38

Please write out number 8 again, unchanged.
Pm12CuHg6 | PBE | relaxed

Properties
The raw total energy is -3.50 eV/atom. Its space-group type is R-3 (148).

Cell lengths 8.2179, 8.2179, 8.2179 Å; angles 90.53, 90.53, 90.53 degrees
Last column: nearest neighbours and their distance in Å.
Sites, in units of the cell vectors:
Pm 0.4451 0.8059 0.5392  4 Hg 3.22-3.42, 4 Pm 3.38-3.55
Pm 0.6515 0.9873 0.8765  1 Cu 3.03, 3 Hg 3.20-3.39, 1 Pm 3.23
Pm 0.8059 0.5392 0.4451  4 Hg 3.22-3.42, 4 Pm 3.38-3.55
Pm 0.3485 0.0127 0.1235  1 Cu 3.03, 3 Hg 3.20-3.39, 1 Pm 3.23
Pm 0.8765 0.6515 0.9873  1 Cu 3.03, 3 Hg 3.20-3.39, 1 Pm 3.23
Pm 0.4608 0.5549 0.1941  4 Hg 3.22-3.42, 4 Pm 3.38-3.55
Pm 0.1235 0.3485 0.0127  1 Cu 3.03, 3 Hg 3.20-3.39, 1 Pm 3.23
Pm 0.0127 0.1235 0.3485  1 Cu 3.03, 3 Hg 3.20-3.39, 1 Pm 3.23
Pm 0.5549 0.1941 0.4608  4 Hg 3.22-3.42, 4 Pm 3.38-3.55
Pm 0.5392 0.4451 0.8059  4 Hg 3.22-3.42, 4 Pm 3.38-3.55
Pm 0.9873 0.8765 0.6515  1 Cu 3.03, 3 Hg 3.20-3.39, 1 Pm 3.23
Pm 0.1941 0.4608 0.5549  4 Hg 3.22-3.42, 4 Pm 3.38-3.55
Hg 0.7313 0.2841 0.1206  8 Pm 3.20-3.43, 1 Cu 3.38, 2 Hg 3.55
Hg 0.2687 0.7159 0.8794  8 Pm 3.20-3.43, 1 Cu 3.38, 2 Hg 3.55
Hg 0.8794 0.2687 0.7159  8 Pm 3.20-3.43, 1 Cu 3.38, 2 Hg 3.55
Hg 0.2841 0.1206 0.7313  8 Pm 3.20-3.43, 1 Cu 3.38, 2 Hg 3.55
Hg 0.7159 0.8794 0.2687  8 Pm 3.20-3.43, 1 Cu 3.38, 2 Hg 3.55
Hg 0.1206 0.7313 0.2841  8 Pm 3.20-3.43, 1 Cu 3.38, 2 Hg 3.55
Cu 0.0000 0.0000 0.0000  6 Pm 3.03, 6 Hg 3.38

What is the formula in the sixth record?
Cs2BiBH